Record 1
Sm7Ho3Tm2: relaxed, PBE.

Values from the calculation:
As for the formation energy: 75.6 meV/atom. The energy above the most stable polymorph in this dataset is 0 meV per atom. Its uncorrected energy is -54.80 eV for the cell shown.

Cell lengths 3.5590, 6.4018, 17.2687 Å; angles 90.22, 90.00, 90.00 degrees
Last column: nearest neighbours and their distance in Å.
Fractional coordinates of all 12 atoms:
1 Sm 0.0000 0.0000 0.0000  8 Sm 3.56-3.61, 4 Ho 3.66
2 Tm 0.5000 0.5104 0.3289  5 Sm 3.35-3.48, 2 Tm 3.56, 4 Ho 3.61-3.72
3 Sm 0.5000 0.2422 0.4950  2 Sm 3.11-3.30, 2 Tm 3.35-3.42
4 Sm 0.5000 0.7578 0.5050  2 Sm 3.11-3.30, 2 Tm 3.35-3.42
5 Sm 0.5000 0.1764 0.1700  1 Tm 3.47, 8 Sm 3.56-3.66, 3 Ho 3.60-3.63
6 Sm 0.0000 0.6766 0.1674  2 Tm 3.48, 7 Sm 3.56-3.66, 3 Ho 3.57-3.64
7 Tm 0.5000 0.4896 0.6711  5 Sm 3.35-3.48, 2 Tm 3.56, 4 Ho 3.61-3.72
8 Sm 0.5000 0.8236 0.8300  1 Tm 3.47, 8 Sm 3.56-3.66, 3 Ho 3.60-3.63
9 Ho 0.5000 0.5000 0.0000  2 Ho 3.56, 10 Sm 3.57-3.66
10 Sm 0.0000 0.3234 0.8326  2 Tm 3.48, 7 Sm 3.56-3.66, 3 Ho 3.57-3.64
11 Ho 0.0000 0.0009 0.3411  7 Sm 3.55-3.69, 2 Ho 3.56, 4 Tm 3.61-3.72
12 Ho 0.0000 0.9991 0.6589  7 Sm 3.55-3.69, 2 Ho 3.56, 4 Tm 3.61-3.72

=====

Record 2
Mg3PbW: relaxed, PBE.

Values from the calculation:
As for the formation energy: 1113.7 meV/atom. The energy above the most stable polymorph in this dataset is 0 meV per atom. Its uncorrected energy is -15.88 eV for the cell shown.

Cell lengths 5.2638, 5.2638, 5.2638 Å; angles 90.00, 90.00, 90.00 degrees
Last column: nearest neighbours and their distance in Å.
Fractional coordinates of all 5 atoms:
1 Mg 0.0000 0.5000 0.0000  2 W 2.63
2 W 0.0000 0.0000 0.0000  6 Mg 2.63
3 Pb 0.5000 0.5000 0.5000  12 Mg 3.72
4 Mg 0.5000 0.0000 0.0000  2 W 2.63
5 Mg 0.0000 0.0000 0.5000  2 W 2.63

=====

Record 3
K2YCd2: relaxed, PBE.

Values from the calculation:
As for the formation energy: 136.1 meV/atom. The energy above the most stable polymorph in this dataset is 0 meV per atom. Its uncorrected energy is -19.62 eV for the cell shown.

Cell lengths 8.0356, 8.0356, 5.9456 Å; angles 90.00, 90.00, 90.00 degrees
Last column: nearest neighbours and their distance in Å.
Fractional coordinates of all 10 atoms:
1 Cd 0.6290 0.1290 0.0000  1 Cd 2.93, 2 Y 3.16
2 K 0.1741 0.6741 0.5000  6 Cd 3.72-3.86, 1 K 3.96
3 Y 0.5000 0.5000 0.0000  4 Cd 3.16
4 Y 0.0000 0.0000 0.0000  4 Cd 3.16
5 K 0.3259 0.1741 0.5000  6 Cd 3.72-3.86, 1 K 3.96
6 Cd 0.8710 0.6290 0.0000  1 Cd 2.93, 2 Y 3.16
7 Cd 0.1290 0.3710 0.0000  1 Cd 2.93, 2 Y 3.16
8 Cd 0.3710 0.8710 0.0000  1 Cd 2.93, 2 Y 3.16
9 K 0.8259 0.3259 0.5000  6 Cd 3.72-3.86, 1 K 3.96
10 K 0.6741 0.8259 0.5000  6 Cd 3.72-3.86, 1 K 3.96

=====

Record 4
LiScTe: relaxed, PBE.

Values from the calculation:
Its raw formation energy is -1.62 eV per formula unit. The energy above the most stable polymorph in this dataset is 161 meV per atom. Its uncorrected energy is -13.00 eV for the cell shown.

Cell lengths 5.4668, 5.4675, 3.7165 Å; angles 70.12, 70.14, 39.74 degrees
Last column: nearest neighbours and their distance in Å.
Fractional coordinates of all 3 atoms:
1 Sc 0.3257 0.3257 0.6743  5 Li 2.97-3.20, 5 Te 3.08-3.19
2 Li 0.0161 0.0161 0.9839  4 Te 2.96, 5 Sc 2.97-3.20
3 Te 0.6582 0.6582 0.3418  4 Li 2.96, 5 Sc 3.08-3.19

=====

Record 5
Dy3Fe7Ni2: relaxed, PBE.

Values from the calculation:
As for the formation energy: -133.0 meV/atom. Its uncorrected energy is -86.20 eV for the cell shown.

Cell lengths 5.0327, 5.0327, 8.7650 Å; angles 73.32, 73.32, 60.00 degrees
Last column: nearest neighbours and their distance in Å.
Fractional coordinates of all 12 atoms:
1 Fe 0.4183 0.9173 0.2461  2 Ni 2.49-2.51, 5 Fe 2.51-2.55
2 Dy 0.8583 0.8583 0.4250  12 Fe 2.92-3.08, 3 Dy 3.16
3 Fe 0.0827 0.5817 0.7539  2 Ni 2.49-2.51, 5 Fe 2.51-2.55
4 Fe 0.5000 0.5000 0.5000  6 Fe 2.55
5 Fe 0.5817 0.0827 0.7539  2 Ni 2.49-2.51, 5 Fe 2.51-2.55
6 Ni 0.3326 0.3326 0.0022  6 Fe 2.49-2.51
7 Fe 0.9173 0.4183 0.2461  2 Ni 2.49-2.51, 5 Fe 2.51-2.55
8 Ni 0.6674 0.6674 0.9978  6 Fe 2.49-2.51
9 Dy 0.1417 0.1417 0.5750  12 Fe 2.92-3.08, 3 Dy 3.16
10 Dy 0.0000 0.0000 0.0000  6 Ni 2.91, 12 Fe 3.24
11 Fe 0.4183 0.4183 0.2461  2 Ni 2.49-2.51, 5 Fe 2.51-2.55
12 Fe 0.5817 0.5817 0.7539  2 Ni 2.49-2.51, 5 Fe 2.51-2.55

=====

Record 6
YEr5Mg4: relaxed, PBE.

Values from the calculation:
As for the formation energy: -44.9 meV/atom. Its uncorrected energy is -36.11 eV for the cell shown.

Cell lengths 3.7106, 3.7106, 20.1673 Å; angles 90.00, 90.00, 90.00 degrees
Last column: nearest neighbours and their distance in Å.
Fractional coordinates of all 10 atoms:
1 Mg 0.0000 0.0000 0.2156  8 Er 3.25-3.27
2 Mg 0.0000 0.0000 0.5952  8 Er 3.24-3.25
3 Mg 0.0000 0.0000 0.4048  8 Er 3.24-3.25
4 Mg 0.0000 0.0000 0.7844  8 Er 3.25-3.27
5 Er 0.5000 0.5000 0.6894  8 Mg 3.24-3.25
6 Y 0.0000 0.0000 0.0000  8 Er 3.55, 4 Y 3.71
7 Er 0.5000 0.5000 0.3106  8 Mg 3.24-3.25
8 Er 0.5000 0.5000 0.5000  8 Mg 3.25
9 Er 0.5000 0.5000 0.8811  4 Mg 3.27, 4 Y 3.55
10 Er 0.5000 0.5000 0.1189  4 Mg 3.27, 4 Y 3.55

=====

Record 7
Te2AsBr: relaxed, PBE.

Values from the calculation:
Its raw formation energy is 0.46 eV per formula unit. The energy above the most stable polymorph in this dataset is 181 meV per atom. Its uncorrected energy is -12.15 eV for the cell shown.

Cell lengths 9.7398, 9.7398, 9.7398 Å; angles 22.42, 22.42, 22.42 degrees
Last column: nearest neighbours and their distance in Å.
Fractional coordinates of all 4 atoms:
1 Te 0.9911 0.9911 0.9911  9 Te 3.42-3.79
2 Br 0.7713 0.7713 0.7713  3 As 2.91
3 Te 0.2320 0.2320 0.2320  3 As 2.77
4 As 0.5056 0.5056 0.5056  3 Te 2.77, 3 Br 2.91

=====

Record 8
Nd6Sm4Y: relaxed, PBE.

Values from the calculation:
As for the formation energy: 355.7 meV/atom. The energy above the most stable polymorph in this dataset is 74 meV per atom. Its uncorrected energy is -50.03 eV for the cell shown.

Cell lengths 7.6515, 7.6515, 8.7105 Å; angles 116.05, 116.05, 90.00 degrees
Last column: nearest neighbours and their distance in Å.
Fractional coordinates of all 11 atoms:
1 Y 0.5000 0.5000 0.0000  8 Nd 3.57-3.83, 4 Sm 3.74
2 Nd 0.0834 0.0834 0.6225  1 Sm 3.22, 1 Y 3.57
3 Nd 0.9166 0.4610 0.3775  1 Sm 3.22, 1 Y 3.57
4 Sm 0.7508 0.0896 0.8404  3 Nd 3.04-3.22, 2 Sm 3.39
5 Nd 0.4610 0.9166 0.3775  1 Sm 3.22, 1 Y 3.57
6 Sm 0.2492 0.2492 0.1596  3 Nd 3.04-3.22, 2 Sm 3.39
7 Nd 0.5390 0.5390 0.6225  1 Sm 3.22, 1 Y 3.57
8 Nd 0.5000 0.0000 0.0000  4 Sm 3.04
9 Sm 0.9104 0.9104 0.1596  3 Nd 3.04-3.22, 2 Sm 3.39
10 Nd 0.0000 0.5000 0.0000  4 Sm 3.04
11 Sm 0.0896 0.7508 0.8404  3 Nd 3.04-3.22, 2 Sm 3.39

=====

Record 9
MgIrIN2: relaxed, PBE.

Values from the calculation:
Its raw formation energy is 9.05 eV per formula unit. The energy above the most stable polymorph in this dataset is 1139 meV per atom. Its uncorrected energy is -19.61 eV for the cell shown.

Cell lengths 3.9641, 3.9641, 6.1765 Å; angles 90.00, 90.00, 90.00 degrees
Last column: nearest neighbours and their distance in Å.
Fractional coordinates of all 5 atoms:
1 Mg 0.0000 0.0000 0.0000  4 N 1.98
2 N 0.5000 0.0000 0.0000  2 Mg 1.98
3 I 0.0000 0.0000 0.5000  4 Ir 2.80, 2 Mg 3.09
4 N 0.0000 0.5000 0.0000  2 Mg 1.98
5 Ir 0.5000 0.5000 0.5000  4 I 2.80

=====

Record 10
SiSn2Hg: relaxed, PBE.

Values from the calculation:
Its raw formation energy is 1.22 eV per formula unit. The energy above the most stable polymorph in this dataset is 142 meV per atom. Its uncorrected energy is -12.51 eV for the cell shown.

Cell lengths 5.1341, 5.1341, 5.1341 Å; angles 60.00, 60.00, 60.00 degrees
Last column: nearest neighbours and their distance in Å.
Fractional coordinates of all 4 atoms:
1 Hg 0.5000 0.5000 0.5000  8 Sn 3.14
2 Sn 0.7500 0.7500 0.7500  4 Hg 3.14, 4 Si 3.14
3 Si 0.0000 0.0000 0.0000  8 Sn 3.14
4 Sn 0.2500 0.2500 0.2500  4 Hg 3.14, 4 Si 3.14

=====

Record 11
NaThGaBr6: relaxed, PBE.

Values from the calculation:
Its raw formation energy is -12.95 eV per formula unit. Its uncorrected energy is -69.51 eV for the cell shown.

Cell lengths 7.5203, 7.5203, 13.6299 Å; angles 90.00, 90.00, 120.00 degrees
Last column: nearest neighbours and their distance in Å.
Fractional coordinates of all 18 atoms:
1 Br 0.0161 0.6561 0.8697  1 Th 2.86, 1 Na 3.01, 1 Ga 3.19
2 Br 0.9839 0.3439 0.1303  1 Th 2.86, 1 Na 3.01, 1 Ga 3.19
3 Ga 0.0000 0.0000 0.5000  6 Br 3.19
4 Br 0.6400 0.6561 0.6303  1 Th 2.86, 1 Na 3.01, 1 Ga 3.19
5 Na 0.6667 0.3333 0.7500  6 Br 3.01
6 Ga 0.0000 0.0000 0.0000  6 Br 3.19
7 Th 0.3333 0.6667 0.7500  6 Br 2.86
8 Na 0.3333 0.6667 0.2500  6 Br 3.01
9 Br 0.6561 0.6400 0.1303  1 Th 2.86, 1 Na 3.01, 1 Ga 3.19
10 Br 0.3600 0.0161 0.1303  1 Th 2.86, 1 Na 3.01, 1 Ga 3.19
11 Br 0.0161 0.3600 0.6303  1 Th 2.86, 1 Na 3.01, 1 Ga 3.19
12 Br 0.6400 0.9839 0.8697  1 Th 2.86, 1 Na 3.01, 1 Ga 3.19
13 Br 0.6561 0.0161 0.3697  1 Th 2.86, 1 Na 3.01, 1 Ga 3.19
14 Br 0.3439 0.9839 0.6303  1 Th 2.86, 1 Na 3.01, 1 Ga 3.19
15 Br 0.3439 0.3600 0.8697  1 Th 2.86, 1 Na 3.01, 1 Ga 3.19
16 Br 0.3600 0.3439 0.3697  1 Th 2.86, 1 Na 3.01, 1 Ga 3.19
17 Br 0.9839 0.6400 0.3697  1 Th 2.86, 1 Na 3.01, 1 Ga 3.19
18 Th 0.6667 0.3333 0.2500  6 Br 2.86

=====

Record 12
Dy2YEr: relaxed, PBE.

Values from the calculation:
As for the formation energy: 22.1 meV/atom. The energy above the most stable polymorph in this dataset is 11 meV per atom. Its uncorrected energy is -20.14 eV for the cell shown.

Cell lengths 3.5396, 3.5396, 10.0216 Å; angles 90.00, 90.00, 90.00 degrees
Last column: nearest neighbours and their distance in Å.
Fractional coordinates of all 4 atoms:
1 Dy 0.0000 0.0000 0.2474  4 Er 3.52, 4 Dy 3.54, 4 Y 3.56
2 Dy 0.0000 0.0000 0.7526  4 Er 3.52, 4 Dy 3.54, 4 Y 3.56
3 Er 0.5000 0.5000 0.0000  8 Dy 3.52, 4 Er 3.54
4 Y 0.5000 0.5000 0.5000  4 Y 3.54, 8 Dy 3.56

=====

Record 13
LaTlTe2Rh: relaxed, PBE.

Values from the calculation:
Its raw formation energy is 0.00 eV per formula unit. Its uncorrected energy is -20.93 eV for the cell shown.

Cell lengths 6.2765, 4.9527, 6.2765 Å; angles 90.00, 90.00, 90.00 degrees
Last column: nearest neighbours and their distance in Å.
Fractional coordinates of all 5 atoms:
1 Te 0.0000 0.0000 0.5000  2 La 3.14
2 La 0.0000 0.0000 0.0000  2 Rh 2.48
3 Tl 0.5000 0.5000 0.5000  8 Te 4.00, 4 Rh 4.44
4 Rh 0.0000 0.5000 0.0000  2 La 2.48
5 Te 0.5000 0.0000 0.0000  2 La 3.14